<i>
This record from Alexandria describes an optimized crystal structure of CaBiCl5. The functional is PBE.

a b c (Å): 8.1352 4.0484 13.2305
angles (deg): 90.00 94.28 90.00
Closest atoms and distances in Å follow each position.
Positions (direct):
Ca  0.0812  0.2500  0.1355  7 Cl 2.76-3.04
Ca  0.9188  0.7500  0.8645  7 Cl 2.76-3.04
Bi  0.4147  0.7500  0.3461  7 Cl 2.74-3.03
Bi  0.5853  0.2500  0.6539  7 Cl 2.74-3.03
Cl  0.0768  0.7500  0.3067  1 Bi 2.76, 2 Ca 3.04
Cl  0.1310  0.2500  0.9295  3 Ca 2.76-2.79
Cl  0.3184  0.2500  0.4813  3 Bi 2.85-3.03
Cl  0.3399  0.7500  0.1381  1 Bi 2.77, 2 Ca 2.92
Cl  0.3832  0.7500  0.7088  2 Bi 2.74
Cl  0.6168  0.2500  0.2912  2 Bi 2.74
Cl  0.6601  0.2500  0.8619  1 Bi 2.77, 2 Ca 2.92
Cl  0.6816  0.7500  0.5187  3 Bi 2.85-3.03
Cl  0.8690  0.7500  0.0705  3 Ca 2.76-2.79
Cl  0.9232  0.2500  0.6933  1 Bi 2.76, 2 Ca 3.04

## Properties
ρ ... 3.3 g/cm³
Calculated volume ... 31.037 A^3/atom


<ii>
This record from Alexandria describes an optimized crystal structure of CaBiCl5. The functional is PBE.

a b c (Å): 7.2122 7.2122 10.2536
angles (deg): 110.15 110.15 71.80
Closest atoms and distances in Å follow each position.
Positions (direct):
Ca  0.0263  0.9737  0.7500  5 Cl 2.69-2.96
Ca  0.9737  0.0263  0.2500  5 Cl 2.69-2.96
Bi  0.5000  0.5000  0.0000  6 Cl 2.69-2.77
Bi  0.5000  0.5000  0.5000  6 Cl 2.69-2.77
Cl  0.1472  0.7716  0.0324  1 Bi 2.73, 1 Ca 2.75
Cl  0.1885  0.3161  0.3542  1 Bi 2.69, 1 Ca 2.69
Cl  0.2284  0.8528  0.4676  1 Bi 2.73, 1 Ca 2.75
Cl  0.3161  0.1885  0.8542  1 Bi 2.69, 1 Ca 2.69
Cl  0.3762  0.6238  0.7500  2 Bi 2.77, 1 Ca 2.96
Cl  0.6238  0.3762  0.2500  2 Bi 2.77, 1 Ca 2.96
Cl  0.6839  0.8115  0.1458  1 Bi 2.69, 1 Ca 2.69
Cl  0.7716  0.1472  0.5324  1 Bi 2.73, 1 Ca 2.75
Cl  0.8115  0.6839  0.6458  1 Bi 2.69, 1 Ca 2.69
Cl  0.8528  0.2284  0.9676  1 Bi 2.73, 1 Ca 2.75

## Properties
ρ ... 3.1 g/cm³
Calculated volume ... 32.755 A^3/atom


Stability comparison, relative energies in kJ/mol of atoms: <i> 0.0; <ii> 0.6